No. 1
Density functional theory data (GGA-PBE) for a geometry-optimized CeCd2Ag3 structure. Values from VASP.

Quantum ESPRESSO input file:
```
&SYSTEM
  ibrav = 0, nat = 12, ntyp = 3
/
ATOMIC_SPECIES
Ce 140.12 Ce.upf
Cd 112.41 Cd.upf
Ag 107.87 Ag.upf
ATOMIC_POSITIONS angstrom
Ce 0.0000 0.0000 3.2780
Ce 0.0000 0.0000 9.8340
Cd 2.4245 1.3998 5.4025
Cd 0.0000 2.7996 7.7095
Cd 0.0000 2.7996 11.9585
Cd 2.4245 1.3998 1.1535
Ag 0.0000 0.0000 6.5560
Ag 0.0000 0.0000 0.0000
Ag 2.4245 1.3998 8.3339
Ag 0.0000 2.7996 1.7779
Ag 2.4245 1.3998 11.3341
Ag 0.0000 2.7996 4.7781
CELL_PARAMETERS angstrom
4.8490 0.0000 0.0000
-2.4245 4.1994 0.0000
0.0000 0.0000 13.1120
```

Output
* E: -0.104 hartree per atom
* polymorph energy (0 for the lowest one): 0.000 eV/f.u.
* DOS at the Fermi energy: 1.5233 states/eV/atom
* energy of formation: -0.122 eV/atom
* calculated density: 8.6 g/cm3

No. 2
Density functional theory data (GGA-PBE) for a geometry-optimized As2PbAu2 structure. Values from VASP.

Quantum ESPRESSO input file:
```
&SYSTEM
  ibrav = 0, nat = 10, ntyp = 3
/
ATOMIC_SPECIES
Pb 207.20 Pb.upf
As 74.92 As.upf
Au 196.97 Au.upf
ATOMIC_POSITIONS angstrom
Pb 0.0000 0.0000 0.0000
Pb 1.2950 -3.6038 -4.3691
As 2.3807 -6.3460 -3.3276
As 1.6122 -4.5981 -7.3177
As 0.2092 -0.8615 -5.4106
As 0.9777 -2.6095 -1.4205
Au 0.3833 -5.5102 -1.5807
Au 0.7710 -6.7608 -5.7832
Au -0.7729 -2.8510 -7.0890
Au -1.1605 -1.6004 -2.8866
CELL_PARAMETERS angstrom
-0.3595 0.4419 -8.1965
2.9494 -7.6495 -0.5418
-2.9794 -1.1536 0.0685
```

Output
* E: -0.136 hartree per atom
* DOS at the Fermi energy: 0.6236 states/eV/atom
* energy of formation: 0.212 eV/atom
* calculated density: 11.6 g/cm3

No. 3
Density functional theory data (GGA-PBE) for a geometry-optimized Na8B13C3 structure. Values from VASP.

Quantum ESPRESSO input file:
```
&SYSTEM
  ibrav = 0, nat = 24, ntyp = 3
/
ATOMIC_SPECIES
Na 22.99 Na.upf
C 12.01 C.upf
B 10.81 B.upf
ATOMIC_POSITIONS angstrom
Na 0.0000 8.6811 10.6676
Na 0.0000 4.3500 10.6676
Na 1.3945 8.6833 2.6644
Na 1.3945 4.3478 2.6644
Na 0.0000 8.6786 5.3600
Na 0.0000 4.3525 5.3600
Na 1.3945 8.6764 8.0137
Na 1.3945 4.3546 8.0137
C 1.3945 6.5155 0.8608
C 0.0000 2.1718 7.2565
C 1.3945 2.1718 9.7215
B 0.0000 2.1718 1.7493
B 1.3945 2.1718 0.6059
B 0.0000 6.5155 1.6627
B 0.0000 6.5155 3.3866
B 1.3945 2.1718 4.6514
B 0.0000 2.1718 3.4948
B 1.3945 6.5155 4.4685
B 1.3945 6.5155 6.1665
B 1.3945 2.1718 6.4406
B 0.0000 6.5155 7.2298
B 2.7890 6.5155 8.9127
B 0.0000 2.1718 8.8849
B 1.3945 6.5155 9.9932
CELL_PARAMETERS angstrom
2.7890 0.0000 0.0000
0.0000 8.6874 0.0000
0.0000 0.0000 10.6844
```

Output
* E: -0.185 hartree per atom
* polymorph energy (0 for the lowest one): 0.079 eV/f.u.
* DOS at the Fermi energy: 0.1989 states/eV/atom
* energy of formation: 0.185 eV/atom
* calculated density: 2.3 g/cm3

No. 4
Density functional theory data (GGA-PBE) for a geometry-optimized KZr2Ni structure. Values from VASP.

Quantum ESPRESSO input file:
```
&SYSTEM
  ibrav = 0, nat = 4, ntyp = 3
/
ATOMIC_SPECIES
K 39.10 K.upf
Ni 58.69 Ni.upf
Zr 91.22 Zr.upf
ATOMIC_POSITIONS angstrom
K -1.8306 -1.0669 2.5623
Ni 1.3181 -2.8103 -1.1914
Zr 0.0000 0.0000 0.0000
Zr -1.8878 -2.1872 -0.5676
CELL_PARAMETERS angstrom
-5.0364 -0.4437 3.1862
1.2609 -3.9306 -4.3214
1.3753 -1.6900 1.9385
```

Output
* E: -0.186 hartree per atom
* polymorph energy (0 for the lowest one): 3.015 eV/f.u.
* DOS at the Fermi energy: 0.9882 states/eV/atom
* energy of formation: 0.936 eV/atom
* calculated density: 5.2 g/cm3

No. 5
Density functional theory data (GGA-PBE) for a geometry-optimized ThScFePd structure. Values from VASP.

Quantum ESPRESSO input file:
```
&SYSTEM
  ibrav = 0, nat = 4, ntyp = 4
/
ATOMIC_SPECIES
Sc 44.96 Sc.upf
Pd 106.42 Pd.upf
Th 232.04 Th.upf
Fe 55.84 Fe.upf
ATOMIC_POSITIONS angstrom
Sc 4.8366 2.7924 1.9745
Pd 7.2549 4.1886 2.9618
Th 0.0000 0.0000 0.0000
Fe 2.4183 1.3962 0.9873
CELL_PARAMETERS angstrom
4.8366 0.0000 0.0000
2.4183 4.1886 0.0000
2.4183 1.3962 3.9491
```

Output
* E: -0.264 hartree per atom
* DOS at the Fermi energy: 1.0626 states/eV/atom
* energy of formation: -0.322 eV/atom
* calculated density: 9.1 g/cm3

No. 6
Density functional theory data (GGA-PBE) for a geometry-optimized AsRuCl2 structure. Values from VASP.

Quantum ESPRESSO input file:
```
&SYSTEM
  ibrav = 0, nat = 4, ntyp = 3
/
ATOMIC_SPECIES
Ru 101.07 Ru.upf
As 74.92 As.upf
Cl 35.45 Cl.upf
ATOMIC_POSITIONS angstrom
Ru -3.2893 0.7003 0.8168
As -6.6720 4.8484 1.9175
Cl -0.6827 0.8372 0.2221
Cl -2.7000 3.3109 0.8786
CELL_PARAMETERS angstrom
-2.0767 -1.2167 -1.7970
-1.1192 -1.5309 2.3299
-6.7655 8.2962 2.2014
```

Output
* raw formation energy: 531 meV per atom
* E: -0.142 hartree per atom
* polymorph energy (0 for the lowest one): 3.422 eV/f.u.
* DOS at the Fermi energy: 1.1201 states/eV/atom
* calculated density: 4.2 g/cm3

No. 7
Density functional theory data (GGA-PBE) for a geometry-optimized Sm2Tm2Sc3 structure. Values from VASP.

Quantum ESPRESSO input file:
```
&SYSTEM
  ibrav = 0, nat = 14, ntyp = 3
/
ATOMIC_SPECIES
Sm 150.36 Sm.upf
Tm 168.93 Tm.upf
Sc 44.96 Sc.upf
ATOMIC_POSITIONS angstrom
Sm 10.2579 -5.0446 2.3421
Sm 2.7699 -5.7429 -0.3767
Sm 11.9200 -1.6537 1.7075
Sm 4.4321 -2.3520 -1.0113
Tm 4.3028 -3.6177 2.1103
Tm 5.6057 -6.5796 1.6199
Tm 9.0842 -0.8169 -0.2891
Tm 10.3871 -3.7789 -0.7794
Sc 7.3450 -3.6983 0.6654
Sc 0.0000 0.0000 0.0000
Sc 8.7153 -1.8079 2.7913
Sc 13.4758 -4.4840 1.4480
Sc 1.2141 -2.9126 -0.1172
Sc 5.9746 -5.5886 -1.4605
CELL_PARAMETERS angstrom
-0.1680 -5.1651 -2.4123
12.1614 0.1793 -1.2310
2.6965 -2.4108 4.9741
```

Output
* E: -0.193 hartree per atom
* polymorph energy (0 for the lowest one): 0.000 eV/f.u.
* DOS at the Fermi energy: 1.6438 states/eV/atom
* energy of formation: 0.101 eV/atom
* calculated density: 6.4 g/cm3

No. 8
Density functional theory data (GGA-PBE) for a geometry-optimized In3AgSn2 structure. Values from VASP.

Quantum ESPRESSO input file:
```
&SYSTEM
  ibrav = 0, nat = 6, ntyp = 3
/
ATOMIC_SPECIES
In 114.82 In.upf
Ag 107.87 Ag.upf
Sn 118.71 Sn.upf
ATOMIC_POSITIONS angstrom
In -2.7718 -2.8325 1.1950
In -5.3548 -0.4519 0.7670
In 0.1374 -3.0612 -0.8443
Ag 0.0000 0.0000 0.0000
Sn -5.9189 -3.5723 0.0232
Sn -2.5821 -0.6921 -1.2527
CELL_PARAMETERS angstrom
-0.3745 -0.9800 -3.1916
0.6493 -5.1424 1.5029
-8.7758 1.8580 0.4591
```

Output
* E: -0.115 hartree per atom
* DOS at the Fermi energy: 0.4206 states/eV/atom
* energy of formation: 0.051 eV/atom
* calculated density: 7.4 g/cm3